Entry 1:
CsSiP: optimized geometry, PBE.

Cell lengths 4.8798, 6.5070, 7.4939 Å; angles 105.28, 95.20, 102.11 degrees
Space group P-1 (No. 2)
Inequivalent atoms, fractional coordinates:
Cs 0.2413 0.1584 0.2730 (multiplicity 2)
Si 0.2338 0.5519 0.9679 (multiplicity 2)
P 0.4113 0.2926 0.7914 (multiplicity 2)

=====

Entry 2:
Cs2SiP: optimized geometry, PBE.

Cell lengths 8.6205, 8.6205, 8.6205 Å; angles 90.00, 90.00, 90.00 degrees
Space group Fm-3m (No. 225)
Inequivalent atoms, fractional coordinates:
Cs 0.2500 0.2500 0.2500 (multiplicity 8)
Si 0.0000 0.0000 0.0000 (multiplicity 4)
P 0.0000 0.0000 0.5000 (multiplicity 4)

=====

Entry 3:
CsSi3P: optimized geometry, PBE.

Cell lengths 5.5432, 5.5432, 5.5432 Å; angles 90.00, 90.00, 90.00 degrees
Space group Pm-3m (No. 221)
Inequivalent atoms, fractional coordinates:
Cs 0.0000 0.0000 0.0000 (multiplicity 1)
Si 0.0000 0.0000 0.5000 (multiplicity 3)
P 0.5000 0.5000 0.5000 (multiplicity 1)

=====

Entry 4:
CsSi3P: optimized geometry, PBE.

Cell lengths 4.9500, 4.9500, 4.9500 Å; angles 90.00, 90.00, 90.00 degrees
Space group Pm-3m (No. 221)
Inequivalent atoms, fractional coordinates:
Cs 0.0000 0.0000 0.0000 (multiplicity 1)
Si 0.0000 0.5000 0.5000 (multiplicity 3)
P 0.5000 0.5000 0.5000 (multiplicity 1)

=====

Entry 5:
Cs2SiP: optimized geometry, PBE.

Cell lengths 13.8146, 13.8146, 4.6459 Å; angles 90.00, 90.00, 90.00 degrees
Space group I-42d (No. 122)
Inequivalent atoms, fractional coordinates:
Cs 0.0391 0.2500 0.1250 (multiplicity 8)
Si 0.0000 0.0000 0.5000 (multiplicity 4)
P 0.0000 0.0000 0.0000 (multiplicity 4)

=====

Entry 6:
CsSi2P2: optimized geometry, PBE.

Cell lengths 5.9003, 6.4853, 8.2239 Å; angles 72.44, 69.37, 82.40 degrees
Space group P-1 (No. 2)
Inequivalent atoms, fractional coordinates:
Cs 0.2467 0.2411 0.0879 (multiplicity 2)
Si 0.2292 0.5354 0.5021 (multiplicity 2)
Si 0.3180 0.0726 0.6641 (multiplicity 2)
P 0.0558 0.6983 0.2875 (multiplicity 2)
P 0.4401 0.7122 0.6039 (multiplicity 2)

=====

Here are the calculated E_form (uncorrected) numbers, same order: -0.306 0.686 2.639 0.817 0.063 -0.082 (eV per atom).
Here are the calculated total DFT energy (no corrections) numbers, same order: -4.20 -2.45 -1.87 -3.69 -3.07 -4.59 (eV per atom).